The following is a DFT calculation (PBE) of an optimized crystal structure of BeInBPb2.

Lattice parameters (Å, degrees): 5.468 5.468 3.671 90.00 90.00 90.00
Atoms (fractional coordinates):
1 Be 0.000 0.000 0.000
2 In 0.500 0.500 0.000
3 B 0.000 0.000 0.500
4 Pb 0.000 0.500 0.500
5 Pb 0.500 0.000 0.500

Summary:
density: 8.3 g cm⁻³
density of states at the Fermi level: 2.3 states/eV/f.u.
M_tot: 0.000 Bohr magnetons per cell
ΔH_f (0 K): 0.483 eV/atom